1.
Entry from Alexandria via LeMat-Bulk: ReOsBr4 after structural relaxation (PBE).

DFT total energy   -15.83 eV per formula unit
SG   No. 216
Formation energy (no corrections)   2.4239 eV per atom
DOS(E_F)   1.397 states/eV per atom

abc: 5.9457 5.9457 5.9457
angles: 60.00 60.00 60.00
Last column: magnetic moment on the atom in μB.
Element x y z (fractional)
Br  0.3755  0.3755  0.3755  -0.04
Re  0.0000  0.0000  0.0000  3.51
Os  0.7500  0.7500  0.7500  2.50
Br  0.3755  0.8736  0.3755  -0.04
Br  0.3755  0.3755  0.8736  -0.04
Br  0.8736  0.3755  0.3755  -0.04

=====

2.
Entry from Alexandria via LeMat-Bulk: LaAl2Co after structural relaxation (PBE).

Formation energy from the elements   -56 kJ/mol of formula units
DFT total energy   -20.09 eV per formula unit
SG   No. 6
DOS(E_F)   0.968 states/eV per atom

abc: 4.0427 3.5886 6.0455
angles: 72.69 90.00 90.00
Element x y z (fractional)
Co  0.0000  0.3430  0.4399
Al  0.0000  0.9934  0.1389
Al  0.5000  0.4470  0.2318
La  0.5000  0.7167  0.6894

=====

3.
Entry from Alexandria via LeMat-Bulk: TiGaFe after structural relaxation (PBE).

Formation energy from the elements   -6 kJ/mol of formula units
DFT total energy   -19.45 eV per formula unit
SG   No. 119
DOS(E_F)   1.327 states/eV per atom

abc: 4.0461 4.0461 4.0500
angles: 90.15 119.95 119.85
Element x y z (fractional)
Fe  0.4441  0.2223  0.6664
Ti  0.9445  0.4722  0.4167
Ga  0.9447  0.9721  0.9168

=====

4.
Entry from Alexandria via LeMat-Bulk: SrTl after structural relaxation (PBE).

Formation energy from the elements   -31 kJ/mol of formula units
DFT total energy   -4.37 eV per formula unit
SG   No. 194
DOS(E_F)   0.647 states/eV per atom

abc: 5.5149 5.5149 11.4066
angles: 90.00 90.00 120.00
Element x y z (fractional)
Sr  0.6667  0.3333  0.5912
Tl  0.6667  0.3333  0.2500
Tl  0.0000  0.0000  0.2500
Sr  0.3333  0.6667  0.0912
Sr  0.6667  0.3333  0.9088
Tl  0.3333  0.6667  0.7500
Tl  0.0000  0.0000  0.7500
Sr  0.3333  0.6667  0.4088

=====

5.
Entry from Alexandria via LeMat-Bulk: HoTmRu2 after structural relaxation (PBE).

Formation energy from the elements   -149 kJ/mol of formula units
DFT total energy   -29.14 eV per formula unit
SG   No. 225
DOS(E_F)   1.113 states/eV per atom

abc: 4.7654 4.7650 4.7652
angles: 59.99 60.00 60.00
Element x y z (fractional)
Ru  0.0000  0.0000  0.0000
Ru  0.5000  0.5000  0.5000
Tm  0.2500  0.2500  0.2500
Ho  0.7500  0.7500  0.7500

=====

6.
Entry from Alexandria via LeMat-Bulk: HfAsW after structural relaxation (PBE).

Formation energy from the elements   -55 kJ/mol of formula units
DFT total energy   -28.13 eV per formula unit
SG   No. 8
DOS(E_F)   0.548 states/eV per atom

abc: 6.6035 3.4194 9.7298
angles: 90.00 102.92 90.00
Element x y z (fractional)
As  0.5154  0.5000  0.3049
W  0.9186  0.0000  0.7330
As  0.1231  0.5000  0.5611
W  0.2375  0.0000  0.3557
As  0.1231  0.0000  0.0611
Hf  0.5355  0.5000  0.5951
Hf  0.8107  0.5000  0.9410
Hf  0.8107  0.0000  0.4410
Hf  0.5355  0.0000  0.0951
W  0.2375  0.5000  0.8557
W  0.9186  0.5000  0.2330
As  0.5154  0.0000  0.8049

=====

Among the records above, which one has the highest DFT total energy? SrTl